(1)
Computed, not measured: an optimized crystal structure of La3Pr6SmHo2 at the GGA-PBE level of DFT.

Summary:
**Formation energy**: 18 meV/atom
**Electronic total energy**: -4.760 eV per atom
**SG**: C2/m, No. 12

Unit cell a=6.3926 b=6.3926 c=12.1921 alpha=95.03 beta=95.03 gamma=120.05
Closest atoms and distances in Å follow each position.
Atoms (fractional coordinates):
La 0.0000 0.0000 0.0000  6 La 3.69, 6 Pr 3.73-3.74
La 0.3330 0.6670 0.0000  6 La 3.69-3.70, 6 Pr 3.73-3.74
La 0.6670 0.3330 0.0000  6 La 3.69-3.70, 6 Pr 3.73-3.74
Pr 0.0842 0.4184 0.2556  2 Ho 3.62, 1 Sm 3.63, 6 Pr 3.68-3.70, 3 La 3.73-3.74
Pr 0.2477 0.2477 0.7444  2 Ho 3.62, 1 Sm 3.63, 6 Pr 3.69-3.70, 3 La 3.73-3.74
Pr 0.4184 0.0842 0.2556  2 Ho 3.62, 1 Sm 3.63, 6 Pr 3.68-3.70, 3 La 3.73-3.74
Pr 0.5816 0.9158 0.7444  2 Ho 3.62, 1 Sm 3.63, 6 Pr 3.68-3.70, 3 La 3.73-3.74
Pr 0.7523 0.7523 0.2556  2 Ho 3.62, 1 Sm 3.63, 6 Pr 3.69-3.70, 3 La 3.73-3.74
Pr 0.9158 0.5816 0.7444  2 Ho 3.62, 1 Sm 3.63, 6 Pr 3.68-3.70, 3 La 3.73-3.74
Sm 0.5000 0.5000 0.5000  6 Pr 3.63, 6 Ho 3.69
Ho 0.1667 0.8333 0.5000  6 Pr 3.62, 3 Sm 3.69, 3 Ho 3.69
Ho 0.8333 0.1667 0.5000  6 Pr 3.62, 3 Sm 3.69, 3 Ho 3.69



(2)
Computed, not measured: an optimized crystal structure of Ca2ScMnSe4 at the GGA-PBE level of DFT.

Summary:
**Electronic total energy**: -5.660 eV per atom
**SG**: P2/m, No. 10
**Energy relative to the elements, uncorrected**: -1.479 eV per atom

Unit cell a=6.9746 b=4.0125 c=7.0012 alpha=90.00 beta=109.64 gamma=90.00
Closest atoms and distances in Å follow each position.
Atoms (fractional coordinates):
Ca 0.0000 0.0000 0.0000  6 Se 2.93-2.94
Ca 0.5000 0.5000 0.0000  6 Se 2.92-2.95
Sc 0.0000 0.5000 0.5000  6 Se 2.77
Mn 0.5000 0.0000 0.5000  6 Se 2.75-2.79
Se 0.2429 0.0000 0.7311  2 Sc 2.77, 1 Mn 2.79, 3 Ca 2.92-2.93
Se 0.2591 0.5000 0.2743  2 Mn 2.75, 1 Sc 2.77, 3 Ca 2.94-2.95
Se 0.7409 0.5000 0.7257  2 Mn 2.75, 1 Sc 2.77, 3 Ca 2.94-2.95
Se 0.7571 0.0000 0.2689  2 Sc 2.77, 1 Mn 2.79, 3 Ca 2.92-2.93



(3)
Computed, not measured: an optimized crystal structure of P2PbSe at the GGA-PBE level of DFT.

Summary:
**Energy above the most stable polymorph in this dataset**: 201 meV per atom
**Electronic total energy**: -4.321 eV per atom
**SG**: Cm, No. 8
**Energy relative to the elements, uncorrected**: 0.182 eV per atom

Unit cell a=7.1025 b=7.1025 c=4.3175 alpha=95.04 beta=95.04 gamma=27.72
Closest atoms and distances in Å follow each position.
Atoms (fractional coordinates):
P 0.0000 0.0000 0.0000  2 P 2.26
P 0.6075 0.6075 0.9915  2 P 2.26
Pb 0.3961 0.3961 0.4662  2 Se 3.01-3.06, 4 P 3.09-3.11
Se 0.2403 0.2403 0.9294  2 P 2.53